<w>
Here is ZrFeTc2B after structural relaxation from the Alexandria database. Energies are from PBE-GGA.

```
data_ZrFeTc2B
_chemical_formula_sum 'Zr1 Fe1 Tc2 B1'
_symmetry_space_group_name_H-M 'P 4/m m m'
_symmetry_Int_Tables_number 123
_symmetry_space_group_name_Hall '-P 4 2'
_cell_length_a 4.242
_cell_length_b 4.242
_cell_length_c 3.877
_cell_angle_alpha 90.00
_cell_angle_beta 90.00
_cell_angle_gamma 90.00
loop_
_atom_site_label
_atom_site_type_symbol
_atom_site_fract_x
_atom_site_fract_y
_atom_site_fract_z
_atom_site_occupancy
Zr1 Zr 0.000 0.000 0.000 1
Fe1 Fe 0.500 0.500 0.000 1
Tc1 Tc 0.000 0.500 0.500 1
B1 B 0.500 0.500 0.500 1
```

As for the total magnetization: 2.23 μB/f.u.

<x>
Here is ZrFeTc2B after structural relaxation from the Alexandria database. Energies are from PBE-GGA.

```
data_ZrFeTc2B
_chemical_formula_sum 'Zr1 Fe1 Tc2 B1'
_symmetry_space_group_name_H-M 'P 4/m m m'
_symmetry_Int_Tables_number 123
_symmetry_space_group_name_Hall '-P 4 2'
_cell_length_a 4.050
_cell_length_b 4.050
_cell_length_c 4.500
_cell_angle_alpha 90.00
_cell_angle_beta 90.00
_cell_angle_gamma 90.00
loop_
_atom_site_label
_atom_site_type_symbol
_atom_site_fract_x
_atom_site_fract_y
_atom_site_fract_z
_atom_site_occupancy
Zr1 Zr 0.000 0.000 0.000 1
Fe1 Fe 0.500 0.500 0.000 1
Tc1 Tc 0.000 0.500 0.500 1
B1 B 0.000 0.000 0.500 1
```

As for the total magnetization: 0.01 μB/f.u.

Which structure is the least stable? The one labeled <x>.

<w>
Here is FeBTe3 after structural relaxation from the Alexandria database. Energies are from PBE-GGA.

```
data_FeBTe3
_chemical_formula_sum 'Fe1 B1 Te3'
_symmetry_space_group_name_H-M 'P m -3 m'
_symmetry_Int_Tables_number 221
_symmetry_space_group_name_Hall '-P 4 2 3'
_cell_length_a 4.723
_cell_length_b 4.723
_cell_length_c 4.723
_cell_angle_alpha 90.00
_cell_angle_beta 90.00
_cell_angle_gamma 90.00
loop_
_atom_site_label
_atom_site_type_symbol
_atom_site_fract_x
_atom_site_fract_y
_atom_site_fract_z
_atom_site_occupancy
Fe1 Fe 0.000 0.000 0.000 1
B1 B 0.500 0.500 0.500 1
Te1 Te 0.000 0.500 0.500 1
```

As for the total magnetization: 0.00 μB/f.u.

<x>
Here is FeBTe3 after structural relaxation from the Alexandria database. Energies are from PBE-GGA.

```
data_FeBTe3
_chemical_formula_sum 'Fe1 B1 Te3'
_symmetry_space_group_name_H-M 'P m -3 m'
_symmetry_Int_Tables_number 221
_symmetry_space_group_name_Hall '-P 4 2 3'
_cell_length_a 5.015
_cell_length_b 5.015
_cell_length_c 5.015
_cell_angle_alpha 90.00
_cell_angle_beta 90.00
_cell_angle_gamma 90.00
loop_
_atom_site_label
_atom_site_type_symbol
_atom_site_fract_x
_atom_site_fract_y
_atom_site_fract_z
_atom_site_occupancy
Fe1 Fe 0.000 0.000 0.000 1
B1 B 0.500 0.500 0.500 1
Te1 Te 0.000 0.000 0.500 1
```

As for the total magnetization: 0.00 μB/f.u.

Which structure is the least stable? The one labeled <x>.

<w>
Here is Fe2BTe2 after structural relaxation from the Alexandria database. Energies are from PBE-GGA.

```
data_Fe2BTe2
_chemical_formula_sum 'Fe4 B2 Te4'
_symmetry_space_group_name_H-M 'I 4/m m m'
_symmetry_Int_Tables_number 139
_symmetry_space_group_name_Hall '-I 4 2'
_cell_length_a 3.520
_cell_length_b 3.520
_cell_length_c 14.342
_cell_angle_alpha 90.00
_cell_angle_beta 90.00
_cell_angle_gamma 90.00
loop_
_atom_site_label
_atom_site_type_symbol
_atom_site_fract_x
_atom_site_fract_y
_atom_site_fract_z
_atom_site_occupancy
Fe1 Fe 0.000 0.500 0.250 1
B1 B 0.000 0.000 0.000 1
Te1 Te 0.000 0.000 0.378 1
```

As for the total magnetization: 0.00 μB/f.u.

<x>
Here is Fe2BTe2 after structural relaxation from the Alexandria database. Energies are from PBE-GGA.

```
data_Fe2BTe2
_chemical_formula_sum 'Fe4 B2 Te4'
_symmetry_space_group_name_H-M 'P 4/m b m'
_symmetry_Int_Tables_number 127
_symmetry_space_group_name_Hall '-P 4 2ab'
_cell_length_a 7.304
_cell_length_b 7.304
_cell_length_c 3.085
_cell_angle_alpha 90.00
_cell_angle_beta 90.00
_cell_angle_gamma 90.00
loop_
_atom_site_label
_atom_site_type_symbol
_atom_site_fract_x
_atom_site_fract_y
_atom_site_fract_z
_atom_site_occupancy
Fe1 Fe 0.127 0.373 0.000 1
B1 B 0.000 0.000 0.500 1
Te1 Te 0.166 0.666 0.500 1
```

As for the total magnetization: 0.00 μB/f.u.

Which structure is the least stable? The one labeled <x>.

<w>
Here is FeB3Te after structural relaxation from the Alexandria database. Energies are from PBE-GGA.

```
data_FeB3Te
_chemical_formula_sum 'Fe1 B3 Te1'
_symmetry_space_group_name_H-M 'P m -3 m'
_symmetry_Int_Tables_number 221
_symmetry_space_group_name_Hall '-P 4 2 3'
_cell_length_a 4.360
_cell_length_b 4.360
_cell_length_c 4.360
_cell_angle_alpha 90.00
_cell_angle_beta 90.00
_cell_angle_gamma 90.00
loop_
_atom_site_label
_atom_site_type_symbol
_atom_site_fract_x
_atom_site_fract_y
_atom_site_fract_z
_atom_site_occupancy
Fe1 Fe 0.000 0.000 0.000 1
B1 B 0.000 0.500 0.500 1
Te1 Te 0.500 0.500 0.500 1
```

As for the total magnetization: 0.10 μB/f.u.

<x>
Here is FeB3Te after structural relaxation from the Alexandria database. Energies are from PBE-GGA.

```
data_FeB3Te
_chemical_formula_sum 'Fe1 B3 Te1'
_symmetry_space_group_name_H-M 'P m -3 m'
_symmetry_Int_Tables_number 221
_symmetry_space_group_name_Hall '-P 4 2 3'
_cell_length_a 3.982
_cell_length_b 3.982
_cell_length_c 3.982
_cell_angle_alpha 90.00
_cell_angle_beta 90.00
_cell_angle_gamma 90.00
loop_
_atom_site_label
_atom_site_type_symbol
_atom_site_fract_x
_atom_site_fract_y
_atom_site_fract_z
_atom_site_occupancy
Fe1 Fe 0.000 0.000 0.000 1
B1 B 0.000 0.000 0.500 1
Te1 Te 0.500 0.500 0.500 1
```

As for the total magnetization: 1.34 μB/f.u.

Which structure is the least stable? The one labeled <w>.

<w>
Here is TlFe2B after structural relaxation from the Alexandria database. Energies are from PBE-GGA.

```
data_TlFe2B
_chemical_formula_sum 'Tl4 Fe8 B4'
_symmetry_space_group_name_H-M 'I -4 2 d'
_symmetry_Int_Tables_number 122
_symmetry_space_group_name_Hall 'I -4 2bw'
_cell_length_a 4.305
_cell_length_b 4.305
_cell_length_c 13.344
_cell_angle_alpha 90.00
_cell_angle_beta 90.00
_cell_angle_gamma 90.00
loop_
_atom_site_label
_atom_site_type_symbol
_atom_site_fract_x
_atom_site_fract_y
_atom_site_fract_z
_atom_site_occupancy
Tl1 Tl 0.000 0.000 0.000 1
Fe1 Fe 0.023 0.750 0.625 1
B1 B 0.000 0.000 0.500 1
```

As for the total magnetization: 0.00 μB/f.u.

<x>
Here is TlFe2B after structural relaxation from the Alexandria database. Energies are from PBE-GGA.

```
data_TlFe2B
_chemical_formula_sum 'Tl4 Fe8 B4'
_symmetry_space_group_name_H-M 'F m -3 m'
_symmetry_Int_Tables_number 225
_symmetry_space_group_name_Hall '-F 4 2 3'
_cell_length_a 5.947
_cell_length_b 5.947
_cell_length_c 5.947
_cell_angle_alpha 90.00
_cell_angle_beta 90.00
_cell_angle_gamma 90.00
loop_
_atom_site_label
_atom_site_type_symbol
_atom_site_fract_x
_atom_site_fract_y
_atom_site_fract_z
_atom_site_occupancy
Tl1 Tl 0.000 0.000 0.000 1
Fe1 Fe 0.250 0.250 0.250 1
B1 B 0.000 0.000 0.500 1
```

As for the total magnetization: 4.10 μB/f.u.

Which structure is the least stable? The one labeled <x>.